No. 1
# FeSiNi6, relaxed, DFT GGA-PBE
data_FeSiNi6
_space_group_name_H-M_alt 'P 1'
_space_group_IT_number 1
_cell_length_a 6.109
_cell_length_b 6.109
_cell_length_c 9.959
_cell_angle_alpha 90.00
_cell_angle_beta 90.00
_cell_angle_gamma 109.40
loop_
_space_group_symop_operation_xyz
'x,y,z'
loop_
_atom_site_label
_atom_site_fract_x
_atom_site_fract_y
_atom_site_fract_z
_atom_site_occupancy
Ni1 0.628 0.877 0.624 1
Fe1 0.500 0.500 0.751 1
Ni2 0.627 0.877 0.126 1
Ni3 0.000 0.000 0.000 1
Ni4 0.000 0.000 0.500 1
Ni5 0.750 0.250 0.252 1
Ni6 0.628 0.877 0.376 1
Ni7 0.877 0.628 0.624 1
Si1 0.000 0.000 0.250 1
Ni8 0.123 0.373 0.874 1
Ni9 0.750 0.250 0.748 1
Fe2 0.254 0.746 0.000 1
Ni10 0.500 0.500 0.500 1
Ni11 0.373 0.123 0.126 1
Si2 0.746 0.254 0.500 1
Fe3 0.500 0.500 0.249 1
Ni12 0.372 0.123 0.376 1
Fe4 0.746 0.254 0.000 1
Ni13 0.877 0.628 0.376 1
Ni14 0.250 0.750 0.252 1
Ni15 0.123 0.372 0.624 1
Ni16 0.123 0.373 0.126 1
Ni17 0.877 0.627 0.126 1
Ni18 0.500 0.500 0.000 1
Ni19 0.372 0.123 0.624 1
Ni20 0.877 0.627 0.874 1
Ni21 0.250 0.750 0.748 1
Ni22 0.373 0.123 0.874 1
Si3 0.000 0.000 0.750 1
Ni23 0.123 0.372 0.376 1
Ni24 0.627 0.877 0.874 1
Si4 0.254 0.746 0.500 1
# Raw formation energy (eV/atom): -0.252
# Symmetry: Cmmm (65)
# Magnetic moment (Bohr magnetons per cell): 20.92
# N(E_F) (states/eV/atom): 0.7557
# Energy relative to the lowest polymorph listed for this composition (meV per atom): 0.0

---

No. 2
# FeSiNi, relaxed, DFT GGA-PBE
data_FeSiNi
_space_group_name_H-M_alt 'P 1'
_space_group_IT_number 1
_cell_length_a 3.966
_cell_length_b 4.965
_cell_length_c 6.813
_cell_angle_alpha 90.00
_cell_angle_beta 90.00
_cell_angle_gamma 90.00
loop_
_space_group_symop_operation_xyz
'x,y,z'
loop_
_atom_site_label
_atom_site_fract_x
_atom_site_fract_y
_atom_site_fract_z
_atom_site_occupancy
Fe1 0.250 0.000 0.250 1
Ni1 0.750 0.250 0.084 1
Ni2 0.250 0.250 0.584 1
Si1 0.250 0.750 0.582 1
Si2 0.250 0.250 0.918 1
Si3 0.750 0.750 0.082 1
Fe2 0.750 0.500 0.750 1
Si4 0.750 0.250 0.418 1
Ni3 0.250 0.750 0.916 1
Fe3 0.750 0.000 0.750 1
Ni4 0.750 0.750 0.416 1
Fe4 0.250 0.500 0.250 1
# Raw formation energy (eV/atom): -0.380
# Symmetry: Cmcm (63)
# Magnetic moment (Bohr magnetons per cell): 7.72
# N(E_F) (states/eV/atom): 1.0907

---

No. 3
# FeSiNi5, relaxed, DFT GGA-PBE
data_FeSiNi5
_space_group_name_H-M_alt 'P 1'
_space_group_IT_number 1
_cell_length_a 3.573
_cell_length_b 3.573
_cell_length_c 6.524
_cell_angle_alpha 90.00
_cell_angle_beta 90.00
_cell_angle_gamma 90.00
loop_
_space_group_symop_operation_xyz
'x,y,z'
loop_
_atom_site_label
_atom_site_fract_x
_atom_site_fract_y
_atom_site_fract_z
_atom_site_occupancy
Ni1 0.000 0.500 0.757 1
Ni2 0.000 0.500 0.243 1
Fe1 0.500 0.500 0.000 1
Ni3 0.500 0.000 0.757 1
Ni4 0.500 0.500 0.500 1
Ni5 0.500 0.000 0.243 1
Si1 0.000 0.000 0.500 1
# Raw formation energy (eV/atom): -0.043
# Symmetry: P4/mmm (123)
# Magnetic moment (Bohr magnetons per cell): 4.75
# N(E_F) (states/eV/atom): 0.9146

---

No. 4
# FeSiNi, relaxed, DFT GGA-PBE
data_FeSiNi
_space_group_name_H-M_alt 'P 1'
_space_group_IT_number 1
_cell_length_a 4.789
_cell_length_b 4.789
_cell_length_c 2.740
_cell_angle_alpha 73.38
_cell_angle_beta 73.38
_cell_angle_gamma 33.25
loop_
_space_group_symop_operation_xyz
'x,y,z'
loop_
_atom_site_label
_atom_site_fract_x
_atom_site_fract_y
_atom_site_fract_z
_atom_site_occupancy
Fe1 0.987 0.987 0.013 1
Ni1 0.680 0.680 0.320 1
Si1 0.333 0.333 0.667 1
# Raw formation energy (eV/atom): -0.258
# Symmetry: I4mm (107)
# Magnetic moment (Bohr magnetons per cell): 1.29
# N(E_F) (states/eV/atom): 0.9522

---

No. 5
# Fe6SiNi, relaxed, DFT GGA-PBE
data_Fe6SiNi
_space_group_name_H-M_alt 'P 1'
_space_group_IT_number 1
_cell_length_a 6.195
_cell_length_b 6.195
_cell_length_c 10.137
_cell_angle_alpha 90.00
_cell_angle_beta 90.00
_cell_angle_gamma 110.01
loop_
_space_group_symop_operation_xyz
'x,y,z'
loop_
_atom_site_label
_atom_site_fract_x
_atom_site_fract_y
_atom_site_fract_z
_atom_site_occupancy
Ni1 0.754 0.246 0.250 1
Fe1 0.622 0.873 0.125 1
Fe2 0.249 0.751 0.501 1
Fe3 0.623 0.873 0.875 1
Ni2 0.000 0.000 0.002 1
Fe4 0.249 0.751 0.999 1
Ni3 0.000 0.000 0.498 1
Si1 0.753 0.247 0.750 1
Fe5 0.000 0.000 0.750 1
Fe6 0.500 0.500 0.750 1
Fe7 0.622 0.873 0.375 1
Fe8 0.873 0.623 0.875 1
Fe9 0.751 0.249 0.999 1
Fe10 0.377 0.127 0.625 1
Fe11 0.378 0.127 0.375 1
Fe12 0.500 0.500 0.250 1
Fe13 0.000 0.000 0.250 1
Fe14 0.127 0.377 0.625 1
Si2 0.500 0.500 0.001 1
Si3 0.500 0.500 0.499 1
Fe15 0.873 0.622 0.125 1
Fe16 0.127 0.378 0.375 1
Fe17 0.378 0.127 0.125 1
Fe18 0.127 0.377 0.875 1
Fe19 0.873 0.622 0.375 1
Fe20 0.873 0.623 0.625 1
Fe21 0.623 0.873 0.625 1
Fe22 0.127 0.378 0.125 1
Fe23 0.751 0.249 0.501 1
Si4 0.247 0.753 0.750 1
Ni4 0.246 0.754 0.250 1
Fe24 0.377 0.127 0.875 1
# Raw formation energy (eV/atom): -0.109
# Symmetry: Cmmm (65)
# Magnetic moment (Bohr magnetons per cell): 56.47
# N(E_F) (states/eV/atom): 1.0679

---

No. 6
# FeSiNi, relaxed, DFT GGA-PBE
data_FeSiNi
_space_group_name_H-M_alt 'P 1'
_space_group_IT_number 1
_cell_length_a 2.884
_cell_length_b 5.459
_cell_length_c 8.453
_cell_angle_alpha 90.00
_cell_angle_beta 90.00
_cell_angle_gamma 90.00
loop_
_space_group_symop_operation_xyz
'x,y,z'
loop_
_atom_site_label
_atom_site_fract_x
_atom_site_fract_y
_atom_site_fract_z
_atom_site_occupancy
Fe1 0.750 0.875 0.089 1
Ni1 0.250 0.118 0.598 1
Si1 0.250 0.629 0.254 1
Ni2 0.750 0.882 0.402 1
Fe2 0.250 0.625 0.589 1
Fe3 0.750 0.375 0.411 1
Fe4 0.250 0.125 0.911 1
Si2 0.750 0.371 0.746 1
Si3 0.250 0.129 0.246 1
Si4 0.750 0.871 0.754 1
Ni3 0.750 0.382 0.098 1
Ni4 0.250 0.618 0.902 1
# Raw formation energy (eV/atom): -0.314
# Symmetry: Pnma (62)
# Magnetic moment (Bohr magnetons per cell): 7.46
# N(E_F) (states/eV/atom): 0.6729

---

No. 7
# FeSiNi4, relaxed, DFT GGA-PBE
data_FeSiNi4
_space_group_name_H-M_alt 'P 1'
_space_group_IT_number 1
_cell_length_a 2.620
_cell_length_b 5.175
_cell_length_c 6.384
_cell_angle_alpha 119.92
_cell_angle_beta 78.16
_cell_angle_gamma 75.34
loop_
_space_group_symop_operation_xyz
'x,y,z'
loop_
_atom_site_label
_atom_site_fract_x
_atom_site_fract_y
_atom_site_fract_z
_atom_site_occupancy
Fe1 0.500 0.500 0.500 1
Ni1 0.660 0.002 0.677 1
Ni2 0.181 0.477 0.161 1
Si1 0.000 0.000 0.000 1
Ni3 0.819 0.523 0.839 1
Ni4 0.340 0.998 0.323 1
# Raw formation energy (eV/atom): -0.211
# Symmetry: C2/m (12)
# Magnetic moment (Bohr magnetons per cell): 3.67
# N(E_F) (states/eV/atom): 0.8215
# Energy relative to the lowest polymorph listed for this composition (meV per atom): 0.0

---

No. 8
# Fe4SiNi, relaxed, DFT GGA-PBE
data_Fe4SiNi
_space_group_name_H-M_alt 'P 1'
_space_group_IT_number 1
_cell_length_a 2.882
_cell_length_b 2.882
_cell_length_c 8.170
_cell_angle_alpha 90.00
_cell_angle_beta 90.00
_cell_angle_gamma 90.00
loop_
_space_group_symop_operation_xyz
'x,y,z'
loop_
_atom_site_label
_atom_site_fract_x
_atom_site_fract_y
_atom_site_fract_z
_atom_site_occupancy
Fe1 0.500 0.500 0.838 1
Fe2 0.500 0.500 0.162 1
Fe3 0.000 0.000 0.327 1
Fe4 0.000 0.000 0.673 1
Si1 0.000 0.000 0.000 1
Ni1 0.500 0.500 0.500 1
# Raw formation energy (eV/atom): -0.133
# Symmetry: P4/mmm (123)
# Magnetic moment (Bohr magnetons per cell): 9.08
# N(E_F) (states/eV/atom): 0.8263
# Energy relative to the lowest polymorph listed for this composition (meV per atom): 0.0

---

No. 9
# FeSiNi4, relaxed, DFT GGA-PBE
data_FeSiNi4
_space_group_name_H-M_alt 'P 1'
_space_group_IT_number 1
_cell_length_a 5.224
_cell_length_b 5.676
_cell_length_c 5.227
_cell_angle_alpha 90.00
_cell_angle_beta 90.00
_cell_angle_gamma 90.00
loop_
_space_group_symop_operation_xyz
'x,y,z'
loop_
_atom_site_label
_atom_site_fract_x
_atom_site_fract_y
_atom_site_fract_z
_atom_site_occupancy
Ni1 0.750 0.737 0.000 1
Ni2 0.750 0.263 0.500 1
Ni3 0.750 0.263 0.000 1
Fe1 0.000 0.000 0.750 1
Ni4 0.750 0.737 0.500 1
Fe2 0.500 0.000 0.250 1
Ni5 0.250 0.737 0.000 1
Si1 0.500 0.500 0.750 1
Ni6 0.250 0.263 0.500 1
Si2 0.000 0.500 0.250 1
Ni7 0.250 0.263 0.000 1
Ni8 0.250 0.737 0.500 1
# Raw formation energy (eV/atom): 0.016
# Symmetry: P4/mmm (123)
# Magnetic moment (Bohr magnetons per cell): 8.45
# N(E_F) (states/eV/atom): 0.3921
# Energy relative to the lowest polymorph listed for this composition (meV per atom): 227.1

---

No. 10
# FeSi2Ni, relaxed, DFT GGA-PBE
data_FeSi2Ni
_space_group_name_H-M_alt 'P 1'
_space_group_IT_number 1
_cell_length_a 3.976
_cell_length_b 3.976
_cell_length_c 3.976
_cell_angle_alpha 60.00
_cell_angle_beta 60.00
_cell_angle_gamma 60.00
loop_
_space_group_symop_operation_xyz
'x,y,z'
loop_
_atom_site_label
_atom_site_fract_x
_atom_site_fract_y
_atom_site_fract_z
_atom_site_occupancy
Si1 0.750 0.750 0.750 1
Fe1 0.000 0.000 0.000 1
Si2 0.250 0.250 0.250 1
Ni1 0.500 0.500 0.500 1
# Raw formation energy (eV/atom): -0.294
# Symmetry: Fm-3m (225)
# Magnetic moment (Bohr magnetons per cell): 1.42
# N(E_F) (states/eV/atom): 1.0598

---

No. 11
# FeSi2Ni, relaxed, DFT GGA-PBE
data_FeSi2Ni
_space_group_name_H-M_alt 'P 1'
_space_group_IT_number 1
_cell_length_a 2.573
_cell_length_b 2.573
_cell_length_c 7.275
_cell_angle_alpha 90.00
_cell_angle_beta 90.00
_cell_angle_gamma 89.91
loop_
_space_group_symop_operation_xyz
'x,y,z'
loop_
_atom_site_label
_atom_site_fract_x
_atom_site_fract_y
_atom_site_fract_z
_atom_site_occupancy
Si1 0.000 0.000 0.969 1
Ni1 0.500 0.500 0.753 1
Si2 0.500 0.500 0.274 1
Fe1 0.000 0.000 0.504 1
# Raw formation energy (eV/atom): -0.017
# Symmetry: P4mm (99)
# Magnetic moment (Bohr magnetons per cell): 2.17
# N(E_F) (states/eV/atom): 0.7618

---

No. 12
# Fe2SiNi8, relaxed, DFT GGA-PBE
data_Fe2SiNi8
_space_group_name_H-M_alt 'P 1'
_space_group_IT_number 1
_cell_length_a 3.554
_cell_length_b 5.567
_cell_length_c 6.590
_cell_angle_alpha 104.60
_cell_angle_beta 105.64
_cell_angle_gamma 90.00
loop_
_space_group_symop_operation_xyz
'x,y,z'
loop_
_atom_site_label
_atom_site_fract_x
_atom_site_fract_y
_atom_site_fract_z
_atom_site_occupancy
Ni1 0.862 0.817 0.724 1
Fe1 0.225 0.643 0.450 1
Ni2 0.591 0.450 0.182 1
Ni3 0.138 0.183 0.276 1
Ni4 0.956 0.270 0.912 1
Fe2 0.775 0.357 0.550 1
Ni5 0.320 0.090 0.641 1
Ni6 0.044 0.730 0.088 1
Si1 0.500 0.000 0.000 1
Ni7 0.409 0.550 0.818 1
Ni8 0.680 0.910 0.359 1
# Raw formation energy (eV/atom): -0.173
# Symmetry: C2/m (12)
# Magnetic moment (Bohr magnetons per cell): 8.74
# N(E_F) (states/eV/atom): 0.9851
# Energy relative to the lowest polymorph listed for this composition (meV per atom): 0.0